{"formula": "Ca2SmHo", "functional": "GGA-PBE", "state": "relaxed", "space_group": "R-3m (166)", "dft_energy_ev_per_atom": -3.072, "e_above_lowest_polymorph_mev_per_atom": 200, "cell": [[3.580, 0.000, 0.000], [1.790, 3.100, 0.000], [1.790, 1.033, 13.143]], "species": ["Ca", "Ca", "Ho", "Sm"], "frac_coords": [[0.087, 0.087, 0.739], [0.913, 0.913, 0.261], [0.000, 0.000, 0.000], [0.500, 0.500, 0.500]]}

{"formula": "SbNF", "functional": "GGA-PBE", "state": "relaxed", "e_form_raw_kcal_per_mol_atoms": -15.75, "space_group": "C2/m (12)", "dft_energy_ev_per_atom": -5.456, "e_above_lowest_polymorph_mev_per_atom": 0, "cell": [[-0.976, 1.492, 3.101], [-3.993, 1.122, 0.266], [-2.011, -5.416, 4.036]], "species": ["N", "N", "Sb", "Sb", "F", "F"], "frac_coords": [[0.423, 0.684, 0.471], [0.577, 0.316, 0.529], [0.086, 0.116, 0.713], [0.914, 0.884, 0.287], [0.751, 0.707, 0.792], [0.249, 0.293, 0.208]]}

{"formula": "Ac2NdSi", "functional": "GGA-PBE", "state": "relaxed", "e_form_raw_kcal_per_mol_atoms": -2.47, "space_group": "P4/mmm (123)", "dft_energy_ev_per_atom": -4.709, "e_above_lowest_polymorph_mev_per_atom": 0, "cell": [[4.896, 0.000, 0.000], [0.000, 5.108, 0.000], [0.000, 0.000, 5.108]], "species": ["Ac", "Ac", "Nd", "Si"], "frac_coords": [[0.000, 0.000, 0.500], [0.000, 0.500, 0.000], [0.500, 0.500, 0.500], [0.500, 0.000, 0.000]]}

{"formula": "Tb3Zn2PtRh3", "functional": "GGA-PBE", "state": "relaxed", "space_group": "P-62m (189)", "dft_energy_ev_per_atom": -5.490, "cell": [[-2.187, 2.059, 1.155], [-5.174, -5.862, 0.652], [4.771, 1.706, 5.991]], "species": ["Tb", "Tb", "Tb", "Zn", "Zn", "Pt", "Rh", "Rh", "Rh"], "frac_coords": [[0.500, 0.712, 0.000], [0.500, 0.000, 0.712], [0.500, 0.288, 0.288], [0.500, 0.667, 0.333], [0.500, 0.333, 0.667], [0.000, 0.000, 0.000], [0.000, 0.600, 0.600], [0.000, 0.000, 0.400], [0.000, 0.400, 0.000]]}